Entry 1:
PBE Na3Pa3WN8, optimized geometry; mass density = 7.5 g/cm³; formation energy (no corrections) = -1.0072 eV per atom; size of the total moment = 0.0 μB/cell; VASP energy = -8.474 eV per atom
1.0
-2.521 0.689 -6.362
4.460 -5.045 1.405
-6.478 -0.332 2.531
N Pa Na W
8 3 3 1
Direct
0.753 0.966 0.679 N
0.787 0.034 0.321 N
0.213 0.425 0.679 N
0.787 0.575 0.321 N
0.247 0.034 0.321 N
0.213 0.966 0.679 N
0.730 0.461 0.691 N
0.270 0.539 0.309 N
0.500 0.000 0.500 Pa
0.500 0.500 0.500 Pa
0.000 0.500 0.500 Pa
0.000 0.500 0.000 Na
0.000 0.000 0.000 Na
0.500 0.500 0.000 Na
0.000 0.000 0.500 W

Entry 2:
PBE NaPaW2N6, optimized geometry; mass density = 7.7 g/cm³; formation energy (no corrections) = -0.7012 eV per atom; size of the total moment = 0.0 μB/cell; VASP energy = -9.369 eV per atom
1.0
5.737 -0.273 -0.283
1.519 7.210 0.041
1.519 -0.227 7.207
W N Na Pa
4 12 2 2
Direct
0.211 0.788 0.613 W
0.289 0.387 0.212 W
0.789 0.212 0.387 W
0.711 0.613 0.788 W
0.165 0.993 0.757 N
0.594 0.413 0.285 N
0.885 0.392 0.835 N
0.835 0.007 0.243 N
0.615 0.165 0.608 N
0.094 0.285 0.413 N
0.335 0.243 0.007 N
0.906 0.715 0.587 N
0.665 0.757 0.993 N
0.385 0.835 0.392 N
0.115 0.608 0.165 N
0.406 0.587 0.715 N
0.250 0.917 0.083 Na
0.750 0.083 0.917 Na
0.250 0.281 0.719 Pa
0.750 0.719 0.281 Pa